A plane-wave DFT calculation with PBE was carried out for an optimized crystal structure of Th2Ge3Ir5.

## Properties
Its total energy is -7.8871 eV/atom. The density of states at the Fermi level is 0.66 states/eV per atom. Its relative energy among the computed polymorphs is 137 meV/atom. The crystal system is orthorhombic. The calculation puts the density at 14.94 g/cm³. The space group is No. 36. The energy of formation from the pure elements is -5.87 eV/f.u.

Lattice parameters (Å, degrees): 12.160 12.160 7.009 90.00 90.00 159.36
Sites, in units of the cell vectors:
Th: 0.024 0.976 0.500
Th: 0.321 0.679 0.531
Th: 0.679 0.321 0.031
Th: 0.976 0.024 0.000
Ge: 0.101 0.899 0.154
Ge: 0.277 0.723 0.107
Ge: 0.442 0.558 0.311
Ge: 0.558 0.442 0.811
Ge: 0.723 0.277 0.607
Ge: 0.899 0.101 0.654
Ir: 0.114 0.886 0.783
Ir: 0.183 0.817 0.397
Ir: 0.232 0.768 0.790
Ir: 0.379 0.621 0.015
Ir: 0.452 0.548 0.697
Ir: 0.548 0.452 0.197
Ir: 0.621 0.379 0.515
Ir: 0.768 0.232 0.290
Ir: 0.817 0.183 0.897
Ir: 0.886 0.114 0.283